Computed, not measured: a geometry-optimized CrIrBr4 structure at the PBE-GGA level of DFT.

As for the calculated volume: 26.6 Å³/atom. The calculation puts the formation energy (no corrections) at 1.529 eV/atom. Its density of states at the Fermi level is 1.724 states/eV/atom.

The structure belongs to space group F-43m (No. 216); the cell edges are 8.6115, 8.6115 and 8.6115 Å and the angles 90.00°, 90.00° and 90.00°. The distinct sites, in fractional coordinates, are Cr at (0.0000, 0.0000, 0.0000), Ir at (0.2500, 0.2500, 0.7500) and Br at (0.1238, 0.1238, 0.3762).